Entry 1:
The following is a DFT calculation (GGA-PBE) of NaMnReHg2 after structural relaxation.

Unit cell a=4.791 b=4.791 c=4.948 alpha=90.00 beta=90.00 gamma=90.00
Fractional coordinates of all 5 atoms:
Na 0.000 0.000 0.000
Mn 0.500 0.500 0.500
Re 0.000 0.000 0.500
Hg 0.000 0.500 0.000
Hg 0.500 0.000 0.000

* symmetry: No. 123
* density of states at the Fermi level: 7.04 states/eV/f.u.
* spin magnetization: 0.781 μB per formula unit
* formation enthalpy at 0 K: 2.40 eV/atom
* calculated volume: 114 Å³ per cell

***

Entry 2:
The following is a DFT calculation (GGA-PBE) of NaMnHgTe3 after structural relaxation.

Unit cell a=8.853 b=4.033 c=9.300 alpha=90.00 beta=90.63 gamma=90.00
Fractional coordinates of all 12 atoms:
Na 0.114 0.250 0.209
Na 0.886 0.750 0.791
Mn 0.382 0.750 0.844
Mn 0.618 0.250 0.156
Hg 0.111 0.250 0.548
Hg 0.889 0.750 0.452
Te 0.173 0.250 0.872
Te 0.372 0.750 0.553
Te 0.406 0.750 0.143
Te 0.594 0.250 0.857
Te 0.628 0.250 0.447
Te 0.827 0.750 0.128

* symmetry: No. 11
* formation energy (no corrections): -1.6 eV per formula unit
* density of states at the Fermi level: 3.15 states/eV/f.u.
* spin magnetization: 3.022 μB per formula unit
* calculated volume: 332 Å³ per cell

***

Entry 3:
The following is a DFT calculation (GGA-PBE) of Na2MnZnHg after structural relaxation.

Unit cell a=5.427 b=5.427 c=4.986 alpha=90.00 beta=90.00 gamma=90.00
Fractional coordinates of all 5 atoms:
Na 0.000 0.500 0.000
Na 0.500 0.000 0.000
Mn 0.000 0.000 0.500
Zn 0.500 0.500 0.000
Hg 0.500 0.500 0.500

* symmetry: No. 123
* density of states at the Fermi level: 3.40 states/eV/f.u.
* spin magnetization: 4.641 μB per formula unit
* formation enthalpy at 0 K: 0.60 eV/atom
* calculated volume: 147 Å³ per cell

***

Entry 4:
The following is a DFT calculation (GGA-PBE) of MnNb2Hg after structural relaxation.

Unit cell a=10.627 b=10.627 c=10.627 alpha=159.05 beta=159.05 gamma=29.79
Fractional coordinates of all 8 atoms:
Mn 0.000 0.000 0.000
Mn 0.750 0.250 0.500
Nb 0.118 0.625 0.993
Nb 0.375 0.368 0.493
Nb 0.632 0.125 0.007
Nb 0.875 0.882 0.507
Hg 0.250 0.750 0.500
Hg 0.500 0.500 0.000

* symmetry: No. 122
* density of states at the Fermi level: 3.68 states/eV/f.u.
* spin magnetization: 3.144 μB per formula unit
* formation enthalpy at 0 K: 0.65 eV/atom
* calculated volume: 153 Å³ per cell

***

Entry 5:
The following is a DFT calculation (GGA-PBE) of MnNb3Hg after structural relaxation.

Unit cell a=4.623 b=4.623 c=4.623 alpha=90.00 beta=90.00 gamma=90.00
Fractional coordinates of all 5 atoms:
Mn 0.000 0.000 0.000
Nb 0.000 0.000 0.500
Nb 0.000 0.500 0.000
Nb 0.500 0.000 0.000
Hg 0.500 0.500 0.500

* polymorph energy (0 for the lowest one): 0.0 kJ per mole of atoms
* symmetry: No. 221
* density of states at the Fermi level: 4.46 states/eV/f.u.
* spin magnetization: 0.000 μB per formula unit
* formation enthalpy at 0 K: 0.64 eV/atom
* calculated volume: 99 Å³ per cell

***

Entry 6:
The following is a DFT calculation (GGA-PBE) of Mn3NbHg after structural relaxation.

Unit cell a=4.907 b=4.907 c=4.907 alpha=90.00 beta=90.00 gamma=90.00
Fractional coordinates of all 5 atoms:
Mn 0.000 0.000 0.500
Mn 0.000 0.500 0.000
Mn 0.500 0.000 0.000
Nb 0.500 0.500 0.500
Hg 0.000 0.000 0.000

* polymorph energy (0 for the lowest one): 25.6 kJ per mole of atoms
* symmetry: No. 221
* density of states at the Fermi level: 6.23 states/eV/f.u.
* spin magnetization: 9.489 μB per formula unit
* formation enthalpy at 0 K: 1.51 eV/atom
* calculated volume: 118 Å³ per cell

***

Entry 7:
The following is a DFT calculation (GGA-PBE) of MnNb3Hg after structural relaxation.

Unit cell a=5.012 b=5.012 c=5.012 alpha=90.00 beta=90.00 gamma=90.00
Fractional coordinates of all 5 atoms:
Mn 0.000 0.000 0.000
Nb 0.000 0.500 0.500
Nb 0.500 0.000 0.500
Nb 0.500 0.500 0.000
Hg 0.500 0.500 0.500

* polymorph energy (0 for the lowest one): 182.8 kJ per mole of atoms
* symmetry: No. 221
* density of states at the Fermi level: 13.50 states/eV/f.u.
* spin magnetization: 0.740 μB per formula unit
* formation enthalpy at 0 K: 2.53 eV/atom
* calculated volume: 126 Å³ per cell

***

Entry 8:
The following is a DFT calculation (GGA-PBE) of Mn2Nb2Hg after structural relaxation.

Unit cell a=7.111 b=7.111 c=3.241 alpha=90.00 beta=90.00 gamma=90.00
Fractional coordinates of all 10 atoms:
Mn 0.123 0.377 0.000
Mn 0.377 0.877 0.000
Mn 0.623 0.123 0.000
Mn 0.877 0.623 0.000
Nb 0.174 0.674 0.500
Nb 0.326 0.174 0.500
Nb 0.674 0.826 0.500
Nb 0.826 0.326 0.500
Hg 0.000 0.000 0.000
Hg 0.500 0.500 0.000

* symmetry: No. 127
* density of states at the Fermi level: 4.57 states/eV/f.u.
* spin magnetization: 3.987 μB per formula unit
* formation enthalpy at 0 K: 0.19 eV/atom
* calculated volume: 164 Å³ per cell

***

Entry 9:
The following is a DFT calculation (GGA-PBE) of Mn3NbHg after structural relaxation.

Unit cell a=4.726 b=4.726 c=4.726 alpha=90.00 beta=90.00 gamma=90.00
Fractional coordinates of all 5 atoms:
Mn 0.000 0.000 0.500
Mn 0.000 0.500 0.000
Mn 0.500 0.000 0.000
Nb 0.000 0.000 0.000
Hg 0.500 0.500 0.500

* polymorph energy (0 for the lowest one): 0.0 kJ per mole of atoms
* symmetry: No. 221
* density of states at the Fermi level: 3.24 states/eV/f.u.
* spin magnetization: 8.386 μB per formula unit
* formation enthalpy at 0 K: 1.25 eV/atom
* calculated volume: 106 Å³ per cell

***

Entry 10:
The following is a DFT calculation (GGA-PBE) of MnNbHgP2 after structural relaxation.

Unit cell a=4.839 b=4.839 c=4.685 alpha=90.00 beta=90.00 gamma=90.00
Fractional coordinates of all 5 atoms:
Mn 0.000 0.000 0.000
Nb 0.500 0.500 0.000
Hg 0.000 0.000 0.500
P 0.000 0.500 0.500
P 0.500 0.000 0.500

* symmetry: No. 123
* density of states at the Fermi level: 12.06 states/eV/f.u.
* spin magnetization: 1.933 μB per formula unit
* formation enthalpy at 0 K: 1.95 eV/atom
* calculated volume: 110 Å³ per cell

***

Entry 11:
The following is a DFT calculation (GGA-PBE) of MnNbHg2Rh after structural relaxation.

Unit cell a=5.148 b=5.148 c=4.770 alpha=90.00 beta=90.00 gamma=90.00
Fractional coordinates of all 5 atoms:
Mn 0.000 0.000 0.000
Nb 0.500 0.500 0.000
Hg 0.000 0.500 0.500
Hg 0.500 0.000 0.500
Rh 0.500 0.500 0.500

* symmetry: No. 123
* density of states at the Fermi level: 3.87 states/eV/f.u.
* spin magnetization: 3.089 μB per formula unit
* formation enthalpy at 0 K: 0.88 eV/atom
* calculated volume: 126 Å³ per cell

***

Entry 12:
The following is a DFT calculation (GGA-PBE) of MnNb2HgRu after structural relaxation.

Unit cell a=4.782 b=4.782 c=4.796 alpha=90.00 beta=90.00 gamma=90.00
Fractional coordinates of all 5 atoms:
Mn 0.000 0.000 0.000
Nb 0.000 0.500 0.500
Nb 0.500 0.000 0.500
Hg 0.500 0.500 0.000
Ru 0.000 0.000 0.500

* symmetry: No. 123
* density of states at the Fermi level: 4.77 states/eV/f.u.
* spin magnetization: 2.816 μB per formula unit
* formation enthalpy at 0 K: 0.91 eV/atom
* calculated volume: 110 Å³ per cell

***

Entry 13:
The following is a DFT calculation (GGA-PBE) of MnNb2Hg2Se6 after structural relaxation.

Unit cell a=5.999 b=5.999 c=9.855 alpha=97.62 beta=97.62 gamma=119.83
Fractional coordinates of all 11 atoms:
Mn 0.000 0.000 0.000
Nb 0.331 0.669 0.000
Nb 0.669 0.331 0.000
Hg 0.178 0.822 0.500
Hg 0.822 0.178 0.500
Se 0.076 0.392 0.171
Se 0.245 0.245 0.832
Se 0.392 0.076 0.171
Se 0.608 0.924 0.829
Se 0.755 0.755 0.168
Se 0.924 0.608 0.829

* symmetry: No. 12
* formation energy (no corrections): -5.9 eV per formula unit
* density of states at the Fermi level: 5.87 states/eV/f.u.
* spin magnetization: 1.466 μB per formula unit
* calculated volume: 297 Å³ per cell

***

Entry 14:
The following is a DFT calculation (GGA-PBE) of Mn2NbHgTe after structural relaxation.

Unit cell a=5.158 b=5.158 c=5.233 alpha=90.00 beta=90.00 gamma=90.00
Fractional coordinates of all 5 atoms:
Mn 0.000 0.500 0.000
Mn 0.500 0.000 0.000
Nb 0.000 0.000 0.000
Hg 0.500 0.500 0.500
Te 0.000 0.000 0.500

* symmetry: No. 123
* formation energy (no corrections): 4.2 eV per formula unit
* density of states at the Fermi level: 1.71 states/eV/f.u.
* spin magnetization: 7.429 μB per formula unit
* calculated volume: 139 Å³ per cell

***

Entry 15:
The following is a DFT calculation (GGA-PBE) of MnNb2Hg2Te6 after structural relaxation.

Unit cell a=6.374 b=6.374 c=10.329 alpha=97.60 beta=97.60 gamma=119.97
Fractional coordinates of all 11 atoms:
Mn 0.000 0.000 0.000
Nb 0.330 0.670 0.000
Nb 0.670 0.330 0.000
Hg 0.189 0.811 0.500
Hg 0.811 0.189 0.500
Te 0.079 0.396 0.180
Te 0.244 0.244 0.823
Te 0.396 0.079 0.180
Te 0.604 0.921 0.820
Te 0.756 0.756 0.177
Te 0.921 0.604 0.820

* symmetry: No. 12
* formation energy (no corrections): -2.7 eV per formula unit
* density of states at the Fermi level: 6.97 states/eV/f.u.
* spin magnetization: 1.588 μB per formula unit
* calculated volume: 351 Å³ per cell